First-principles (GGA-PBEsol) data for a relaxed CaY2B crystal, as listed in the Alexandria database.

Cell lengths 6.228, 6.557, 6.557 Å; angles 76.96, 61.64, 61.64 degrees
Positions (direct):
Y 0.218 0.907 0.407
Y 0.532 0.093 0.593
Y 0.375 0.407 0.093
Y 0.875 0.593 0.907
Ca 0.750 0.500 0.500
Ca 0.000 0.000 0.000
B 0.250 0.500 0.500
B 0.500 0.000 0.000

**Magnetic moment**: 0.00 μB per cell
**D(E_F)**: 8.87 states/eV/cell
**ρ**: 3.66 Mg/m³
**DFT total energy**: -5.42 eV per atom

First-principles (GGA-PBEsol) data for a relaxed CaZrB2 crystal, as listed in the Alexandria database.

Cell lengths 4.336, 4.336, 4.336 Å; angles 60.00, 60.00, 60.00 degrees
Positions (direct):
Ca 0.000 0.000 0.000
B 0.250 0.250 0.250
B 0.750 0.750 0.750
Zr 0.500 0.500 0.500

**Magnetic moment**: 0.00 μB per cell
**D(E_F)**: 1.31 states/eV/cell
**ρ**: 4.41 Mg/m³
**DFT total energy**: -5.86 eV per atom

First-principles (GGA-PBEsol) data for a relaxed CdBCl2 crystal, as listed in the Alexandria database.

Cell lengths 3.106, 3.106, 9.031 Å; angles 80.10, 80.10, 60.00 degrees
Positions (direct):
B 0.500 0.500 0.500
Cl 0.883 0.883 0.351
Cl 0.117 0.117 0.649
Cd 0.000 0.000 0.000

**Magnetic moment**: 0.00 μB per cell
**D(E_F)**: 1.85 states/eV/cell
**ρ**: 4.36 Mg/m³
**Raw formation energy**: 0.417 eV/atom

First-principles (GGA-PBEsol) data for a relaxed CdB2Cl2 crystal, as listed in the Alexandria database.

Cell lengths 3.196, 5.174, 5.174 Å; angles 90.00, 90.00, 90.00 degrees
Positions (direct):
B 0.000 0.000 0.000
B 0.500 0.000 0.000
Cl 0.000 0.000 0.500
Cl 0.000 0.500 0.000
Cd 0.500 0.500 0.500

**Magnetic moment**: 0.00 μB per cell
**D(E_F)**: 2.10 states/eV/cell
**ρ**: 3.98 Mg/m³
**Raw formation energy**: 0.401 eV/atom

First-principles (GGA-PBEsol) data for a relaxed CdBS2Cl crystal, as listed in the Alexandria database.

Cell lengths 4.863, 4.863, 5.117 Å; angles 90.00, 90.00, 90.00 degrees
Positions (direct):
S 0.000 0.500 0.000
S 0.500 0.000 0.000
Cl 0.000 0.000 0.500
B 0.500 0.500 0.500
Cd 0.000 0.000 0.000

**Magnetic moment**: 0.04 μB per cell
**D(E_F)**: 6.17 states/eV/cell
**ρ**: 3.06 Mg/m³
**Raw formation energy**: 1.250 eV/atom

First-principles (GGA-PBEsol) data for a relaxed CdCoB2 crystal, as listed in the Alexandria database.

Cell lengths 3.633, 3.633, 7.449 Å; angles 104.12, 104.12, 90.00 degrees
Positions (direct):
B 0.625 0.375 0.750
B 0.125 0.375 0.750
B 0.625 0.875 0.250
B 0.625 0.375 0.250
Co 0.500 0.500 0.000
Co 0.750 0.250 0.500
Cd 0.000 0.000 0.000
Cd 0.250 0.750 0.500

**Magnetic moment**: 0.75 μB per cell
**D(E_F)**: 5.83 states/eV/cell
**ρ**: 6.94 Mg/m³
**DFT total energy**: -5.38 eV per atom